(1)
An optimized crystal structure of Ce2NdU3P6. Source: the Alexandria database, functional PBE.

CIF file:
```
data_Ce2NdU3P6
_chemical_formula_sum 'Ce2 Nd1 U3 P6'
_cell_length_a 6.925
_cell_length_b 6.925
_cell_length_c 7.065
_cell_angle_alpha 99.40
_cell_angle_beta 99.40
_cell_angle_gamma 120.00
_symmetry_space_group_name_H-M 'P 1'
_symmetry_Int_Tables_number 1
_symmetry_space_group_name_Hall 'P 1'
loop_
_atom_site_label
_atom_site_type_symbol
_atom_site_fract_x
_atom_site_fract_y
_atom_site_fract_z
Ce1 Ce 0.167 0.833 0.000
Ce2 Ce 0.833 0.167 0.000
Nd1 Nd 0.500 0.500 0.000
U1 U 0.000 0.000 0.500
U2 U 0.334 0.666 0.500
U3 U 0.666 0.334 0.500
P1 P 0.076 0.412 0.736
P2 P 0.251 0.251 0.263
P3 P 0.412 0.076 0.736
P4 P 0.588 0.924 0.264
P5 P 0.749 0.749 0.737
P6 P 0.924 0.588 0.264
```

(2)
An optimized crystal structure of Ce3NdY2P6. Source: the Alexandria database, functional PBE.

CIF file:
```
data_Ce3NdY2P6
_chemical_formula_sum 'Ce3 Nd1 Y2 P6'
_cell_length_a 7.065
_cell_length_b 7.065
_cell_length_c 7.052
_cell_angle_alpha 99.62
_cell_angle_beta 99.62
_cell_angle_gamma 120.01
_symmetry_space_group_name_H-M 'P 1'
_symmetry_Int_Tables_number 1
_symmetry_space_group_name_Hall 'P 1'
loop_
_atom_site_label
_atom_site_type_symbol
_atom_site_fract_x
_atom_site_fract_y
_atom_site_fract_z
Ce1 Ce 0.000 0.000 0.000
Ce2 Ce 0.334 0.666 0.000
Ce3 Ce 0.666 0.334 0.000
Nd1 Nd 0.500 0.500 0.500
Y1 Y 0.167 0.833 0.500
Y2 Y 0.833 0.167 0.500
P1 P 0.078 0.416 0.249
P2 P 0.245 0.245 0.750
P3 P 0.416 0.078 0.249
P4 P 0.584 0.922 0.751
P5 P 0.755 0.755 0.250
P6 P 0.922 0.584 0.751
```

(3)
An optimized crystal structure of CeNd3Y2P6. Source: the Alexandria database, functional PBE.

CIF file:
```
data_CeNd3Y2P6
_chemical_formula_sum 'Ce1 Nd3 Y2 P6'
_cell_length_a 7.096
_cell_length_b 7.096
_cell_length_c 7.110
_cell_angle_alpha 99.58
_cell_angle_beta 99.58
_cell_angle_gamma 119.99
_symmetry_space_group_name_H-M 'P 1'
_symmetry_Int_Tables_number 1
_symmetry_space_group_name_Hall 'P 1'
loop_
_atom_site_label
_atom_site_type_symbol
_atom_site_fract_x
_atom_site_fract_y
_atom_site_fract_z
Ce1 Ce 0.000 0.000 0.000
Nd1 Nd 0.167 0.833 0.500
Nd2 Nd 0.500 0.500 0.500
Nd3 Nd 0.833 0.167 0.500
Y1 Y 0.333 0.667 0.000
Y2 Y 0.667 0.333 0.000
P1 P 0.080 0.412 0.241
P2 P 0.252 0.252 0.760
P3 P 0.412 0.080 0.241
P4 P 0.588 0.920 0.759
P5 P 0.748 0.748 0.240
P6 P 0.920 0.588 0.759
```

(4)
An optimized crystal structure of Ce2Nd3YP6. Source: the Alexandria database, functional PBE.

CIF file:
```
data_Ce2Nd3YP6
_chemical_formula_sum 'Ce2 Nd3 Y1 P6'
_cell_length_a 7.117
_cell_length_b 7.117
_cell_length_c 7.128
_cell_angle_alpha 99.58
_cell_angle_beta 99.58
_cell_angle_gamma 120.00
_symmetry_space_group_name_H-M 'P 1'
_symmetry_Int_Tables_number 1
_symmetry_space_group_name_Hall 'P 1'
loop_
_atom_site_label
_atom_site_type_symbol
_atom_site_fract_x
_atom_site_fract_y
_atom_site_fract_z
Ce1 Ce 0.167 0.833 0.000
Ce2 Ce 0.833 0.167 0.000
Nd1 Nd 0.000 0.000 0.500
Nd2 Nd 0.333 0.667 0.500
Nd3 Nd 0.667 0.333 0.500
Y1 Y 0.500 0.500 0.000
P1 P 0.086 0.420 0.759
P2 P 0.247 0.247 0.242
P3 P 0.420 0.086 0.759
P4 P 0.580 0.914 0.241
P5 P 0.753 0.753 0.758
P6 P 0.914 0.580 0.241
```

(5)
An optimized crystal structure of CeNdY2P4. Source: the Alexandria database, functional PBE.

CIF file:
```
data_CeNdY2P4
_chemical_formula_sum 'Ce1 Nd1 Y2 P4'
_cell_length_a 7.036
_cell_length_b 4.072
_cell_length_c 7.054
_cell_angle_alpha 90.00
_cell_angle_beta 109.42
_cell_angle_gamma 90.00
_symmetry_space_group_name_H-M 'P 1'
_symmetry_Int_Tables_number 1
_symmetry_space_group_name_Hall 'P 1'
loop_
_atom_site_label
_atom_site_type_symbol
_atom_site_fract_x
_atom_site_fract_y
_atom_site_fract_z
Ce1 Ce 0.000 0.000 0.000
Nd1 Nd 0.000 0.500 0.500
Y1 Y 0.500 0.000 0.500
Y2 Y 0.500 0.500 0.000
P1 P 0.254 0.500 0.248
P2 P 0.256 0.000 0.756
P3 P 0.744 0.000 0.244
P4 P 0.746 0.500 0.752
```

(6)
An optimized crystal structure of Ce3NdY4P8. Source: the Alexandria database, functional PBE.

CIF file:
```
data_Ce3NdY4P8
_chemical_formula_sum 'Ce3 Nd1 Y4 P8'
_cell_length_a 8.110
_cell_length_b 8.110
_cell_length_c 8.110
_cell_angle_alpha 60.13
_cell_angle_beta 60.13
_cell_angle_gamma 60.13
_symmetry_space_group_name_H-M 'P 1'
_symmetry_Int_Tables_number 1
_symmetry_space_group_name_Hall 'P 1'
loop_
_atom_site_label
_atom_site_type_symbol
_atom_site_fract_x
_atom_site_fract_y
_atom_site_fract_z
Ce1 Ce 0.000 0.500 0.500
Ce2 Ce 0.500 0.000 0.500
Ce3 Ce 0.500 0.500 0.000
Nd1 Nd 0.000 0.000 0.000
Y1 Y 0.000 0.000 0.500
Y2 Y 0.000 0.500 0.000
Y3 Y 0.500 0.000 0.000
Y4 Y 0.500 0.500 0.500
P1 P 0.249 0.249 0.249
P2 P 0.252 0.747 0.747
P3 P 0.253 0.253 0.748
P4 P 0.253 0.748 0.253
P5 P 0.747 0.252 0.747
P6 P 0.747 0.747 0.252
P7 P 0.748 0.253 0.253
P8 P 0.751 0.751 0.751
```

(7)
An optimized crystal structure of Ce3Nd4YP8. Source: the Alexandria database, functional PBE.

CIF file:
```
data_Ce3Nd4YP8
_chemical_formula_sum 'Ce3 Nd4 Y1 P8'
_cell_length_a 8.235
_cell_length_b 8.235
_cell_length_c 8.235
_cell_angle_alpha 59.93
_cell_angle_beta 59.93
_cell_angle_gamma 59.93
_symmetry_space_group_name_H-M 'P 1'
_symmetry_Int_Tables_number 1
_symmetry_space_group_name_Hall 'P 1'
loop_
_atom_site_label
_atom_site_type_symbol
_atom_site_fract_x
_atom_site_fract_y
_atom_site_fract_z
Ce1 Ce 0.000 0.500 0.500
Ce2 Ce 0.500 0.000 0.500
Ce3 Ce 0.500 0.500 0.000
Nd1 Nd 0.000 0.000 0.500
Nd2 Nd 0.000 0.500 0.000
Nd3 Nd 0.500 0.000 0.000
Nd4 Nd 0.500 0.500 0.500
Y1 Y 0.000 0.000 0.000
P1 P 0.247 0.247 0.747
P2 P 0.247 0.747 0.247
P3 P 0.253 0.253 0.253
P4 P 0.253 0.753 0.753
P5 P 0.747 0.247 0.247
P6 P 0.747 0.747 0.747
P7 P 0.753 0.253 0.753
P8 P 0.753 0.753 0.253
```

(8)
An optimized crystal structure of CeNd3Zr2P6. Source: the Alexandria database, functional PBE.

CIF file:
```
data_CeNd3Zr2P6
_chemical_formula_sum 'Ce1 Nd3 Zr2 P6'
_cell_length_a 6.913
_cell_length_b 6.913
_cell_length_c 6.957
_cell_angle_alpha 99.56
_cell_angle_beta 99.56
_cell_angle_gamma 119.98
_symmetry_space_group_name_H-M 'P 1'
_symmetry_Int_Tables_number 1
_symmetry_space_group_name_Hall 'P 1'
loop_
_atom_site_label
_atom_site_type_symbol
_atom_site_fract_x
_atom_site_fract_y
_atom_site_fract_z
Ce1 Ce 0.000 0.000 0.000
Nd1 Nd 0.164 0.836 0.500
Nd2 Nd 0.500 0.500 0.500
Nd3 Nd 0.836 0.164 0.500
Zr1 Zr 0.333 0.667 0.000
Zr2 Zr 0.667 0.333 0.000
P1 P 0.077 0.419 0.230
P2 P 0.267 0.267 0.773
P3 P 0.419 0.077 0.230
P4 P 0.581 0.923 0.770
P5 P 0.733 0.733 0.227
P6 P 0.923 0.581 0.770
```

(9)
An optimized crystal structure of Ce2NdZrP4. Source: the Alexandria database, functional PBE.

CIF file:
```
data_Ce2NdZrP4
_chemical_formula_sum 'Ce2 Nd1 Zr1 P4'
_cell_length_a 6.939
_cell_length_b 4.007
_cell_length_c 6.957
_cell_angle_alpha 90.00
_cell_angle_beta 109.33
_cell_angle_gamma 90.00
_symmetry_space_group_name_H-M 'P 1'
_symmetry_Int_Tables_number 1
_symmetry_space_group_name_Hall 'P 1'
loop_
_atom_site_label
_atom_site_type_symbol
_atom_site_fract_x
_atom_site_fract_y
_atom_site_fract_z
Ce1 Ce 0.000 0.000 0.000
Ce2 Ce 0.000 0.500 0.500
Nd1 Nd 0.500 0.000 0.500
Zr1 Zr 0.500 0.500 0.000
P1 P 0.253 0.500 0.237
P2 P 0.262 0.000 0.766
P3 P 0.738 0.000 0.234
P4 P 0.747 0.500 0.763
```

(10)
An optimized crystal structure of CeNdPa4. Source: the Alexandria database, functional PBE.

CIF file:
```
data_CeNdPa4
_chemical_formula_sum 'Ce1 Nd1 Pa4'
_cell_length_a 6.131
_cell_length_b 6.131
_cell_length_c 6.131
_cell_angle_alpha 60.00
_cell_angle_beta 60.00
_cell_angle_gamma 60.00
_symmetry_space_group_name_H-M 'P 1'
_symmetry_Int_Tables_number 1
_symmetry_space_group_name_Hall 'P 1'
loop_
_atom_site_label
_atom_site_type_symbol
_atom_site_fract_x
_atom_site_fract_y
_atom_site_fract_z
Ce1 Ce 0.000 0.000 0.000
Nd1 Nd 0.750 0.750 0.750
Pa1 Pa 0.375 0.375 0.375
Pa2 Pa 0.375 0.375 0.874
Pa3 Pa 0.375 0.874 0.375
Pa4 Pa 0.874 0.375 0.375
```

(11)
An optimized crystal structure of CeNd2Pa. Source: the Alexandria database, functional PBE.

CIF file:
```
data_CeNd2Pa
_chemical_formula_sum 'Ce3 Nd6 Pa3'
_cell_length_a 3.352
_cell_length_b 3.352
_cell_length_c 37.069
_cell_angle_alpha 90.00
_cell_angle_beta 90.00
_cell_angle_gamma 120.00
_symmetry_space_group_name_H-M 'P 1'
_symmetry_Int_Tables_number 1
_symmetry_space_group_name_Hall 'P 1'
loop_
_atom_site_label
_atom_site_type_symbol
_atom_site_fract_x
_atom_site_fract_y
_atom_site_fract_z
Ce1 Ce 0.000 0.000 0.000
Ce2 Ce 0.333 0.667 0.667
Ce3 Ce 0.667 0.333 0.333
Nd1 Nd 0.000 0.000 0.413
Nd2 Nd 0.000 0.000 0.587
Nd3 Nd 0.333 0.667 0.079
Nd4 Nd 0.333 0.667 0.254
Nd5 Nd 0.667 0.333 0.746
Nd6 Nd 0.667 0.333 0.921
Pa1 Pa 0.000 0.000 0.500
Pa2 Pa 0.333 0.667 0.167
Pa3 Pa 0.667 0.333 0.833
```

Computed formation energy from the elements, in the same sequence as the records: -1230, -1551, -1567, -1548, -1575, -1572, -1542, -1461, -1465, 216, 339 meV per atom.